# 1
CaTcW2 | PBE | optimized geometry

Structure (POSCAR):
```
CaTcW2
1.0
2.682 0.000 0.000
0.000 4.833 0.000
0.000 0.000 5.452
Ca Tc W
1 1 2
Direct
0.000 0.000 0.000
0.000 0.000 0.500
0.500 0.500 0.258
0.500 0.500 0.742
```

Calculated values
Crystal system ... orthorhombic
Formation enthalpy at 0 K ... 0.816 eV/atom
Space-group type ... No. 47
Polymorph energy (0 for the lowest one) ... 322 meV/atom



# 2
OsRu | PBE | optimized geometry

Structure (POSCAR):
```
OsRu
1.0
2.748 0.000 0.000
-1.374 2.380 0.000
0.000 0.000 8.626
Os Ru
2 2
Direct
0.333 0.667 0.125
0.667 0.333 0.875
0.333 0.667 0.625
0.667 0.333 0.375
```

Calculated values
Crystal system ... trigonal
Formation enthalpy at 0 K ... 0.012 eV/atom
Space-group type ... No. 164



# 3
GdPaNiAu | PBE | optimized geometry

Structure (POSCAR):
```
GdPaNiAu
1.0
0.000 3.526 3.526
3.526 0.000 3.526
3.526 3.526 0.000
Gd Pa Ni Au
1 1 1 1
Direct
0.000 0.000 0.000
0.500 0.500 0.500
0.750 0.750 0.750
0.250 0.250 0.250
```

Calculated values
Crystal system ... cubic
Formation enthalpy at 0 K ... -0.255 eV/atom
Space-group type ... No. 216



# 4
La3BiAs2 | PBE | optimized geometry

Structure (POSCAR):
```
La3BiAs2
1.0
2.494 -7.378 0.000
2.494 7.378 0.000
0.000 0.000 10.595
La Bi As
6 2 4
Direct
0.100 0.900 0.750
0.379 0.621 0.557
0.379 0.621 0.943
0.621 0.379 0.057
0.621 0.379 0.443
0.900 0.100 0.250
0.228 0.772 0.250
0.772 0.228 0.750
0.000 0.000 0.000
0.000 0.000 0.500
0.487 0.513 0.250
0.513 0.487 0.750
```

Calculated values
Crystal system ... orthorhombic
Formation enthalpy at 0 K ... -1.070 eV/atom
Space-group type ... No. 63



# 5
Sr4Ge2N | PBE | optimized geometry

Structure (POSCAR):
```
Sr4Ge2N
1.0
-2.648 2.648 7.517
2.648 -2.648 7.517
2.648 2.648 -7.517
Sr Ge N
4 2 1
Direct
0.000 0.500 0.500
0.168 0.168 0.000
0.500 0.000 0.500
0.832 0.832 0.000
0.379 0.379 0.000
0.621 0.621 0.000
0.000 0.000 0.000
```

Calculated values
Crystal system ... tetragonal
Space-group type ... No. 139
E_form (uncorrected) ... -0.4363 eV per atom



# 6
LiSb2W | PBE | optimized geometry

Structure (POSCAR):
```
LiSb2W
1.0
1.821 -2.337 0.000
1.821 2.337 0.000
0.000 0.000 10.466
Li Sb W
1 2 1
Direct
0.000 0.000 0.000
0.000 0.000 0.585
0.500 0.500 0.221
0.500 0.500 0.790
```

Calculated values
Crystal system ... orthorhombic
Space-group type ... No. 35
E_form (uncorrected) ... 0.4154 eV per atom
Polymorph energy (0 for the lowest one) ... 330 meV/atom



# 7
MgAlCu6 | PBE | optimized geometry

Structure (POSCAR):
```
MgAlCu6
1.0
4.722 0.000 0.000
0.000 4.722 0.000
0.000 0.000 4.722
Mg Al Cu
1 1 6
Direct
0.000 0.000 0.000
0.500 0.500 0.500
0.000 0.253 0.500
0.000 0.747 0.500
0.253 0.500 0.000
0.500 0.000 0.253
0.500 0.000 0.747
0.747 0.500 0.000
```

Calculated values
Crystal system ... cubic
Formation enthalpy at 0 K ... -0.050 eV/atom
Space-group type ... No. 200
Polymorph energy (0 for the lowest one) ... 79 meV/atom



# 8
BaZrTaBr2 | PBE | optimized geometry

Structure (POSCAR):
```
BaZrTaBr2
1.0
5.516 0.000 0.000
0.000 5.516 0.000
0.000 0.000 5.185
Ba Zr Ta Br
1 1 1 2
Direct
0.000 0.000 0.000
0.500 0.500 0.500
0.500 0.500 0.000
0.000 0.500 0.500
0.500 0.000 0.500
```

Calculated values
Crystal system ... tetragonal
Space-group type ... No. 123
E_form (uncorrected) ... 0.0963 eV per atom



# 9
Be2Rh2Pb | PBE | optimized geometry

Structure (POSCAR):
```
Be2Rh2Pb
1.0
-2.040 2.040 4.485
2.040 -2.040 4.485
2.040 2.040 -4.485
Be Rh Pb
2 2 1
Direct
0.143 0.143 0.000
0.857 0.857 0.000
0.250 0.750 0.500
0.750 0.250 0.500
0.500 0.500 0.000
```

Calculated values
Crystal system ... tetragonal
Formation enthalpy at 0 K ... -0.108 eV/atom
Space-group type ... No. 139
Polymorph energy (0 for the lowest one) ... 53 meV/atom



# 10
Zn2Ni8W | PBE | optimized geometry

Structure (POSCAR):
```
Zn2Ni8W
1.0
3.672 -4.871 0.000
3.672 4.871 0.000
0.000 0.000 3.820
Zn Ni W
2 8 1
Direct
0.123 0.877 0.000
0.877 0.123 0.000
0.168 0.168 0.500
0.200 0.463 0.000
0.254 0.746 0.500
0.463 0.200 0.000
0.537 0.800 0.000
0.746 0.254 0.500
0.800 0.537 0.000
0.832 0.832 0.500
0.500 0.500 0.500
```

Calculated values
Crystal system ... orthorhombic
Formation enthalpy at 0 K ... 0.069 eV/atom
Space-group type ... No. 65



# 11
CeCdAs2Rh5 | PBE | optimized geometry

Structure (POSCAR):
```
CeCdAs2Rh5
1.0
4.034 0.000 0.000
0.000 4.034 0.000
0.000 0.000 11.057
Ce Cd As Rh
1 1 2 5
Direct
0.000 0.000 0.000
0.000 0.000 0.500
0.500 0.500 0.216
0.500 0.500 0.784
0.000 0.500 0.329
0.000 0.500 0.671
0.500 0.000 0.329
0.500 0.000 0.671
0.500 0.500 0.000
```

Calculated values
Crystal system ... tetragonal
Formation enthalpy at 0 K ... -0.314 eV/atom
Space-group type ... No. 123



# 12
LiAuSe2 | PBE | optimized geometry

Structure (POSCAR):
```
LiAuSe2
1.0
-2.430 2.430 7.600
2.430 -2.430 7.600
2.430 2.430 -7.600
Li Au Se
2 2 4
Direct
0.000 0.000 0.000
0.750 0.250 0.500
0.250 0.750 0.500
0.500 0.500 0.000
0.114 0.625 0.989
0.375 0.364 0.489
0.636 0.125 0.011
0.875 0.886 0.511
```

Calculated values
Crystal system ... tetragonal
Space-group type ... No. 122
E_form (uncorrected) ... -0.2717 eV per atom